# CoSb2O

A relaxed CoSb2O crystal (GGA+U, Alexandria).

Computed properties:
Density of states at the Fermi level in states/eV per cell: 2.75
Total magnetization in μB/atom: 0.24
Total energy in eV per cell: -35.9
Mass density in g cm⁻³: 6.44

Lattice parameters (Å, degrees): 5.3954 5.3954 6.8129 66.67 66.67 90.00
Atoms (fractional coordinates):
Co: 0.7500 0.2500 0.5000
Co: 0.0000 0.0000 0.0000
O: 0.5000 0.5000 0.0000
O: 0.2500 0.7500 0.5000
Sb: 0.6088 0.1250 0.2500
Sb: 0.1412 0.6250 0.2500
Sb: 0.3750 0.3912 0.7500
Sb: 0.8750 0.8588 0.7500